VASP calculation (PBE) on a geometry-optimized Nd3Ga2GePd9 structure.

Cell and atoms, written as CIF:
```
data_Nd3Ga2GePd9
_symmetry_space_group_name_H-M 'P -3 m 1'
_symmetry_Int_Tables_number 164
_symmetry_space_group_name_Hall '-P 3 2"'
_cell_length_a 6.5788
_cell_length_b 6.5788
_cell_length_c 8.6296
_cell_angle_alpha 90.00
_cell_angle_beta 90.00
_cell_angle_gamma 120.00
loop_
_atom_site_label
_atom_site_fract_x
_atom_site_fract_y
_atom_site_fract_z
Nd1 0.0000 0.0000 0.0000
Nd2 0.3333 0.6667 0.7078
Ga1 0.3333 0.6667 0.1848
Ge1 0.0000 0.0000 0.5000
Pd1 0.0000 0.5000 0.0000
Pd2 0.1406 0.2813 0.2854
```

Calculated values
Its formation energy is -767 kJ/mol of formula units. Its final energy is -5.311 eV per atom. The density of states at the Fermi level comes out at 7.8 states/eV/cell.

---

VASP calculation (PBE) on a geometry-optimized Ba4GeIBr2 structure.

Cell and atoms, written as CIF:
```
data_Ba4GeIBr2
_symmetry_space_group_name_H-M 'P 1 2/m 1'
_symmetry_Int_Tables_number 10
_cell_length_a 8.304
_cell_length_b 4.900
_cell_length_c 8.623
_cell_angle_alpha 90.00
_cell_angle_beta 109.57
_cell_angle_gamma 90.00
loop_
_symmetry_equiv_pos_as_xyz
'x,y,z'
'-x,-y,-z'
'-x,y,-z'
'x,-y,z'
loop_
_atom_site_label
_atom_site_fract_x
_atom_site_fract_y
_atom_site_fract_z
Ba1 0.231 0.000 0.221
Ba2 0.243 0.500 0.776
Ge1 0.000 0.500 0.000
I1 0.000 0.000 0.500
Br1 0.500 0.000 0.000
Br2 0.500 0.500 0.500
```

Calculated values
The formation energy (no corrections) comes out at -1.36 eV/atom. Its final energy is -3.507 eV per atom. The density of states at the Fermi level comes out at 3.2 states/eV/cell.

---

VASP calculation (PBE) on a geometry-optimized Ta4AuCl structure.

Cell and atoms, written as CIF:
```
data_Ta4AuCl
_symmetry_space_group_name_H-M 'F -4 3 m'
_symmetry_Int_Tables_number 216
_symmetry_space_group_name_Hall 'F -4 2 3'
_cell_length_a 7.799
_cell_length_b 7.799
_cell_length_c 7.799
_cell_angle_alpha 90.00
_cell_angle_beta 90.00
_cell_angle_gamma 90.00
loop_
_atom_site_label
_atom_site_fract_x
_atom_site_fract_y
_atom_site_fract_z
Ta1 0.123 0.123 0.123
Au1 0.250 0.250 0.750
Cl1 0.000 0.000 0.500
```

Calculated values
The formation energy (no corrections) comes out at 0.76 eV/atom. Its final energy is -8.001 eV per atom. The density of states at the Fermi level comes out at 16.8 states/eV/cell.

---

VASP calculation (PBE) on a geometry-optimized CuRe2W structure.

Cell and atoms, written as CIF:
```
data_CuRe2W
_symmetry_space_group_name_H-M 'I m m m'
_symmetry_Int_Tables_number 71
_symmetry_space_group_name_Hall '-I 2 2'
_cell_length_a 3.153
_cell_length_b 4.338
_cell_length_c 8.659
_cell_angle_alpha 90.00
_cell_angle_beta 90.00
_cell_angle_gamma 90.00
loop_
_atom_site_label
_atom_site_fract_x
_atom_site_fract_y
_atom_site_fract_z
Cu1 0.000 0.000 0.000
Re1 0.000 0.500 0.245
W1 0.000 0.000 0.500
```

Calculated values
Its formation energy is 118 kJ/mol of formula units. Its final energy is -10.182 eV per atom. The density of states at the Fermi level comes out at 6.5 states/eV/cell.

---

final energy of number 2 (Ba4GeIBr2)?
-3.507 eV per atom

---

Which of these has the lowest final energy?
CuRe2W

---

Among the records above, which one has the lowest final energy?
CuRe2W